## Tb19Pm4Dy6 (PBE)

Data for Tb19Pm4Dy6 after structural relaxation.

Geometry as POSCAR:
```
Tb19Pm4Dy6
1.0
-9.829 4.081 -1.920
2.986 -6.263 -8.295
-0.253 -5.897 9.061
Tb Pm Dy
19 4 6
direct
0.458 0.675 0.660
0.542 0.202 0.218
0.260 0.260 0.000
0.740 0.740 0.000
0.000 0.260 0.260
0.782 0.984 0.325
0.218 0.542 0.202
0.660 0.458 0.675
0.016 0.798 0.340
0.984 0.325 0.782
0.675 0.660 0.458
0.202 0.218 0.542
0.000 0.000 0.000
0.325 0.782 0.984
0.340 0.016 0.798
0.798 0.340 0.016
0.740 0.000 0.740
0.260 0.000 0.260
0.000 0.740 0.740
0.361 0.361 0.361
0.639 0.000 0.000
0.000 0.000 0.639
0.000 0.639 0.000
0.125 0.625 0.500
0.375 0.500 0.875
0.625 0.500 0.125
0.875 0.375 0.500
0.500 0.875 0.375
0.500 0.125 0.625
```

Properties
calculated formation energy	0.384	eV/atom